The following is a DFT calculation (PBE) of a geometry-optimized PmNdErTh structure.

Summary:
Formation enthalpy at 0 K (kcal/mol of atoms): 0.60
Magnetization (μB per formula unit): 0.00
D(E_F) (states/eV/f.u.): 4.94
Space group: P4mm, No. 99
Raw total energy (eV/atom): -5.349
Relative energy among the computed polymorphs (kJ/mol of formula units): 0

Geometry as POSCAR:
```
PmNdErTh
1.0
3.6040 0.0000 0.0000
0.0000 3.6040 0.0000
0.0000 0.0000 10.2133
Pm Nd Er Th
1 1 1 1
Direct
0.0000 0.0000 0.0000 Pm
0.5000 0.5000 0.2669 Nd
0.0000 0.0000 0.5210 Er
0.5000 0.5000 0.7566 Th
```